Entry 1:
# CePr2Er3

A relaxed CePr2Er3 crystal (PBE, Alexandria).

Geometry as extended XYZ:
```
12
Lattice="-1.184 3.276 -0.453 -2.488 1.822 6.052 13.868 7.858 6.969" Properties=species:S:1:pos:R:3 pbc="T T T"
Ce 7.905 7.599 7.056
Er 4.009 3.717 2.784
Pr 9.217 10.215 8.928
Er 6.188 9.239 9.784
Er -2.438 3.473 4.246
Pr 5.479 6.390 4.651
Er 11.476 6.871 6.084
Er -1.279 6.085 6.484
Pr 4.717 6.566 7.917
Er 12.635 9.483 8.321
Pr 0.980 2.741 3.640
Ce 2.292 5.357 5.512
```

## Properties
electronic total energy = -56.70 eV for the cell shown
space-group type = C2/m (12)

---

Entry 2:
# Tb5HoIn2

A relaxed Tb5HoIn2 crystal (PBE, Alexandria).

Geometry as extended XYZ:
```
8
Lattice="-3.042 -1.117 1.440 2.729 -4.938 6.300 -0.751 5.079 6.720" Properties=species:S:1:pos:R:3 pbc="T T T"
In -0.731 -0.715 11.000
Tb 0.931 -2.592 8.689
Ho 0.000 0.000 0.000
Tb -0.417 -2.930 5.580
Tb -0.648 1.955 8.880
Tb -1.996 1.617 5.771
In -0.334 -0.261 3.460
Tb 0.989 0.071 6.510
```

## Properties
electronic total energy = -34.50 eV for the cell shown
energy relative to the lowest polymorph listed for this composition = 108.5 meV per atom
space-group type = Immm (71)

---

Entry 3:
# ScMnCu2

A relaxed ScMnCu2 crystal (PBE, Alexandria).

Geometry as extended XYZ:
```
4
Lattice="4.373 0.000 0.000 2.187 3.787 0.000 2.187 1.262 3.571" Properties=species:S:1:pos:R:3 pbc="T T T"
Mn 4.373 2.525 1.785
Cu 2.187 1.262 0.893
Sc 6.560 3.787 2.678
Cu 0.000 0.000 0.000
```

## Properties
electronic total energy = -23.59 eV for the cell shown
space-group type = F-43m (216)

---

Entry 4:
# Li6GeAu5

A relaxed Li6GeAu5 crystal (PBE, Alexandria).

Geometry as extended XYZ:
```
12
Lattice="-3.030 -1.730 2.321 -4.338 0.334 -5.415 5.554 -5.063 -0.307" Properties=species:S:1:pos:R:3 pbc="T T T"
Li -2.646 -0.778 -0.252
Li -2.607 -1.677 -4.654
Au -3.045 -2.666 -2.180
Li -4.722 -0.618 -2.842
Li -1.333 -4.618 -1.400
Li -0.481 -1.841 -2.000
Au -2.169 0.167 -2.707
Li 0.793 -4.782 1.253
Au -0.919 -2.700 0.570
Au 1.231 -3.793 -1.221
Ge 0.000 0.000 0.000
Au -0.895 -3.759 -3.971
```

## Properties
electronic total energy = -38.42 eV for the cell shown
space-group type = Immm (71)

---

For reference, E_form by record: 139 -162 26 -495 meV per atom.